AgTe2IrN: relaxed, PBE.

Calculated values
mass density: 8300 kg/m3
space-group type: P4/mmm
calculated volume: 113.9 Å³ per cell
E_form (uncorrected): 361 meV per atom
size of the total moment: 0.00 μB per formula unit
polymorph energy (0 for the lowest one): 0 meV per atom

abc: 5.598 5.598 3.634
angles: 90.00 90.00 90.00
Positions (direct):
Ag  0.500  0.500  0.500
Te  0.500  0.000  0.000
N  0.000  0.000  0.500
Te  0.000  0.500  0.000
Ir  0.000  0.000  0.000